# 1
Computed, not measured: an optimized crystal structure of BaScBe2 at the GGA-PBE level of DFT.

Cell: 3.163 3.163 8.465 Å, 90.00 90.00 90.00°
Fractional positions:
Sc: 0.000 0.000 0.407
Be: 0.000 0.000 0.097
Be: 0.500 0.500 0.201
Ba: 0.500 0.500 0.796

- Mass density: 3.927 g cm⁻³
- SG: P4mm (99)
- E above lowest polymorph: 25.97 kJ/mol of atoms
- Formation energy from the elements: 0.512 eV/atom

# 2
Computed, not measured: an optimized crystal structure of KLaRh2 at the GGA-PBE level of DFT.

Cell: 4.956 4.956 4.956 Å, 60.00 60.00 60.00°
Fractional positions:
K: 0.500 0.500 0.500
La: 0.750 0.750 0.750
Rh: 0.000 0.000 0.000
Rh: 0.250 0.250 0.250

- Mass density: 7.405 g cm⁻³
- SG: F-43m (216)
- E above lowest polymorph: 41.79 kJ/mol of atoms
- Formation energy from the elements: 0.321 eV/atom

# 3
Computed, not measured: an optimized crystal structure of PrNdDyEr at the GGA-PBE level of DFT.

Cell: 5.746 5.746 5.746 Å, 60.00 60.00 60.00°
Fractional positions:
Pr: 0.750 0.750 0.750
Dy: 0.000 0.000 0.000
Nd: 0.250 0.250 0.250
Er: 0.500 0.500 0.500

- Mass density: 7.613 g cm⁻³
- SG: F-43m (216)
- E above lowest polymorph: 8.36 kJ/mol of atoms
- Formation energy from the elements: 0.107 eV/atom

# 4
Computed, not measured: an optimized crystal structure of ZrPa2O8 at the GGA-PBE level of DFT.

Cell: 3.814 6.172 6.933 Å, 100.92 90.00 108.00°
Fractional positions:
Zr: 0.500 0.000 0.000
Pa: 0.742 0.483 0.738
Pa: 0.258 0.517 0.262
O: 0.436 0.872 0.268
O: 0.697 0.394 0.075
O: 0.803 0.606 0.437
O: 0.931 0.863 0.842
O: 0.197 0.394 0.563
O: 0.303 0.606 0.925
O: 0.564 0.128 0.732
O: 0.069 0.137 0.158

- Uncorrected formation energy: -281 kJ per mole of atoms
- Mass density: 7.439 g cm⁻³
- SG: C2/m (12)

# 5
Computed, not measured: an optimized crystal structure of KBa2Li2P2 at the GGA-PBE level of DFT.

Cell: 4.509 4.509 13.409 Å, 80.32 80.32 60.00°
Fractional positions:
K: 0.000 0.000 0.000
Ba: 0.108 0.108 0.677
Ba: 0.892 0.892 0.323
Li: 0.615 0.615 0.155
Li: 0.385 0.385 0.845
P: 0.728 0.728 0.815
P: 0.272 0.272 0.185

- Mass density: 2.793 g cm⁻³
- SG: R-3m (166)
- Formation energy from the elements: -0.655 eV/atom

# 6
Computed, not measured: an optimized crystal structure of Th5Bi6 at the GGA-PBE level of DFT.

Cell: 7.909 7.900 7.894 Å, 120.03 99.65 70.43°
Fractional positions:
Th: 0.500 0.500 0.000
Th: 0.000 0.665 0.331
Th: 0.000 0.335 0.669
Th: 0.500 0.830 0.659
Th: 0.500 0.170 0.341
Bi: 0.755 0.762 0.000
Bi: 0.245 0.238 0.000
Bi: 0.762 0.079 0.682
Bi: 0.238 0.604 0.682
Bi: 0.238 0.921 0.318
Bi: 0.762 0.396 0.318

- Mass density: 9.962 g cm⁻³
- SG: C2/m (12)
- Formation energy from the elements: -0.509 eV/atom

# 7
Computed, not measured: an optimized crystal structure of Na2Ge2Br7 at the GGA-PBE level of DFT.

Cell: 7.011 8.167 8.167 Å, 94.24 105.53 105.53°
Fractional positions:
Na: 0.000 0.305 0.695
Na: 0.000 0.695 0.305
Ge: 0.393 0.206 0.206
Ge: 0.607 0.794 0.794
Br: 0.812 0.930 0.601
Br: 0.188 0.399 0.070
Br: 0.188 0.070 0.399
Br: 0.812 0.601 0.930
Br: 0.500 0.000 0.000
Br: 0.286 0.581 0.581
Br: 0.714 0.419 0.419

- Uncorrected formation energy: -81 kJ per mole of atoms
- Mass density: 2.907 g cm⁻³
- SG: C2/m (12)

Question: Look up the mass density of the second one.
Answer: 7.405 g cm⁻³

Question: Look up the mass density of the fifth one.
Answer: 2.793 g cm⁻³

Question: mass density of number 3 (PrNdDyEr)?
Answer: 7.613 g cm⁻³